First-principles (PBE) data for an optimized crystal structure of Sc4ZnCu2Au, as listed in Alexandria via LeMat-Bulk.

Lattice parameters (Å, degrees): 4.7001 4.7001 8.1586 73.26 73.26 60.00
Last column: nearest neighbours and their distance in Å.
Positions (direct):
Sc 0.3746 0.3746 0.8762  4 Cu 2.77-2.85, 3 Zn 2.88, 1 Au 2.89
Sc 0.8757 0.8757 0.3730  1 Zn 2.87, 3 Au 2.88, 4 Cu 2.91-3.01
Sc 0.1243 0.1243 0.6270  1 Zn 2.87, 3 Au 2.88, 4 Cu 2.91-3.01
Sc 0.6254 0.6254 0.1238  4 Cu 2.77-2.85, 3 Zn 2.88, 1 Au 2.89
Zn 0.0000 0.0000 0.0000  8 Sc 2.87-2.88
Cu 0.7455 0.7455 0.7636  8 Sc 2.77-3.01
Cu 0.2545 0.2545 0.2364  8 Sc 2.77-3.01
Au 0.5000 0.5000 0.5000  8 Sc 2.88-2.89


First-principles (PBE) data for an optimized crystal structure of ScZn2CuAu4, as listed in Alexandria via LeMat-Bulk.

Lattice parameters (Å, degrees): 4.5877 4.5877 7.8388 72.98 72.98 60.00
Last column: nearest neighbours and their distance in Å.
Positions (direct):
Sc 0.0000 0.0000 0.0000  8 Au 2.85-2.86
Zn 0.7473 0.7473 0.7580  8 Au 2.74-2.87
Zn 0.2527 0.2527 0.2420  8 Au 2.74-2.87
Cu 0.5000 0.5000 0.5000  8 Au 2.61-2.78
Au 0.3822 0.3822 0.8534  1 Cu 2.61, 4 Zn 2.74-2.87, 3 Sc 2.86
Au 0.8713 0.8713 0.3862  4 Zn 2.74-2.85, 3 Cu 2.78, 1 Sc 2.85
Au 0.1287 0.1287 0.6138  4 Zn 2.74-2.85, 3 Cu 2.78, 1 Sc 2.85
Au 0.6178 0.6178 0.1466  1 Cu 2.61, 4 Zn 2.74-2.87, 3 Sc 2.86


Results for ΔH_f (0 K): -0.430, -0.360 (in eV/atom, following the order of the records).